The following is a DFT calculation (GGA-PBE) of a geometry-optimized SrTcPt3 structure.

a = 5.141 Å, b = 5.141 Å, c = 5.141 Å
α = 90.00°, β = 90.00°, γ = 90.00°
Space group Pm-3m (No. 221)
Asymmetric unit:
Sr1 0.000 0.000 0.000 x1
Tc1 0.500 0.500 0.500 x1
Pt1 0.000 0.000 0.500 x3

Crystal system: cubic
DFT formation energy, eV/atom: 1.98
Offset from the most stable computed form, meV per atom: 1801
Total magnetization, μB per atom: 0.8563